# U2Mo | Alexandria | PBE | optimized geometry
data_U2Mo
_cell_length_a 4.8150
_cell_length_b 4.8150
_cell_length_c 2.7432
_cell_angle_alpha 90.00
_cell_angle_beta 90.00
_cell_angle_gamma 120.00
_symmetry_space_group_name_H-M 'P 6/m m m'
_symmetry_Int_Tables_number 191
_symmetry_space_group_name_Hall '-P 6 2'
loop_
_atom_site_label
_atom_site_type_symbol
_atom_site_fract_x
_atom_site_fract_y
_atom_site_fract_z
_atom_site_occupancy
U1 U 0.3333 0.6667 0.0000 1
Mo1 Mo 0.0000 0.0000 0.5000 1
# E_form: 28 meV/atom
# V: 18.36 Å³/atom
# distance to the lowest polymorph of the same formula: 0 meV per atom
# D(E_F): 4.5 states/eV per cell